# 1
# Pu3SbAs4 | the Alexandria database | PBE-GGA | relaxed
# Electronic total energy = -8.91 eV/atom
# V = 25.31 Å³/atom
# Total magnetization = 15.0 μB per formula unit
# N(E_F) = 28.29 states/eV per cell
# E_form (uncorrected) = -5.55 eV/f.u.
data_Pu3SbAs4
_space_group_name_H-M_alt 'P 1'
_space_group_IT_number 1
_cell_length_a 5.872
_cell_length_b 5.872
_cell_length_c 5.872
_cell_angle_alpha 90.00
_cell_angle_beta 90.00
_cell_angle_gamma 90.00
loop_
_space_group_symop_operation_xyz
'x,y,z'
loop_
_atom_site_label
_atom_site_fract_x
_atom_site_fract_y
_atom_site_fract_z
As1 0.000 0.500 0.000
Pu1 0.000 0.500 0.500
As2 0.000 0.000 0.500
Sb1 0.000 0.000 0.000
As3 0.500 0.000 0.000
As4 0.500 0.500 0.500
Pu2 0.500 0.000 0.500
Pu3 0.500 0.500 0.000


# 2
# Pu4SbAs2Se | the Alexandria database | PBE-GGA | relaxed
# Electronic total energy = -10.32 eV/atom
# V = 26.65 Å³/atom
# Total magnetization = 20.9 μB per formula unit
# N(E_F) = 41.51 states/eV per cell
# E_form (uncorrected) = -8.36 eV/f.u.
data_Pu4SbAs2Se
_space_group_name_H-M_alt 'P 1'
_space_group_IT_number 1
_cell_length_a 4.221
_cell_length_b 7.337
_cell_length_c 7.299
_cell_angle_alpha 70.57
_cell_angle_beta 90.00
_cell_angle_gamma 90.00
loop_
_space_group_symop_operation_xyz
'x,y,z'
loop_
_atom_site_label
_atom_site_fract_x
_atom_site_fract_y
_atom_site_fract_z
Pu1 0.500 0.761 0.253
Se1 0.000 0.500 0.500
As1 0.000 0.000 0.000
Sb1 0.500 0.500 0.000
Pu2 0.500 0.239 0.747
Pu3 0.000 0.234 0.262
Pu4 0.000 0.766 0.738
As2 0.500 0.000 0.500


# 3
# Pu4SbTe2As | the Alexandria database | PBE-GGA | relaxed
# Electronic total energy = -9.96 eV/atom
# V = 29.37 Å³/atom
# Total magnetization = 0.0 μB per formula unit
# N(E_F) = 52.36 states/eV per cell
# E_form (uncorrected) = -7.30 eV/f.u.
data_Pu4SbTe2As
_space_group_name_H-M_alt 'P 1'
_space_group_IT_number 1
_cell_length_a 4.352
_cell_length_b 7.574
_cell_length_c 7.568
_cell_angle_alpha 70.38
_cell_angle_beta 90.00
_cell_angle_gamma 90.00
loop_
_space_group_symop_operation_xyz
'x,y,z'
loop_
_atom_site_label
_atom_site_fract_x
_atom_site_fract_y
_atom_site_fract_z
As1 0.000 0.500 0.500
Pu1 0.000 0.260 0.257
Pu2 0.500 0.731 0.266
Te1 0.500 0.000 0.500
Pu3 0.500 0.269 0.734
Pu4 0.000 0.740 0.743
Sb1 0.500 0.500 0.000
Te2 0.000 0.000 0.000


# 4
# Pu6SbTe3As2 | the Alexandria database | PBE-GGA | relaxed
# Electronic total energy = -10.04 eV/atom
# V = 28.92 Å³/atom
# Total magnetization = 10.8 μB per formula unit
# N(E_F) = 72.30 states/eV per cell
# E_form (uncorrected) = -11.61 eV/f.u.
data_Pu6SbTe3As2
_space_group_name_H-M_alt 'P 1'
_space_group_IT_number 1
_cell_length_a 4.324
_cell_length_b 8.696
_cell_length_c 9.738
_cell_angle_alpha 103.18
_cell_angle_beta 102.83
_cell_angle_gamma 90.00
loop_
_space_group_symop_operation_xyz
'x,y,z'
loop_
_atom_site_label
_atom_site_fract_x
_atom_site_fract_y
_atom_site_fract_z
As1 0.832 0.664 0.663
Te1 0.835 0.167 0.670
Pu1 0.332 0.898 0.665
Te2 0.165 0.833 0.330
As2 0.168 0.336 0.337
Sb1 0.500 0.000 0.000
Pu2 0.007 0.253 0.015
Te3 0.500 0.500 0.000
Pu3 0.668 0.102 0.335
Pu4 0.673 0.570 0.346
Pu5 0.327 0.430 0.654
Pu6 0.993 0.747 0.985


# 5
# PuSc5As6 | the Alexandria database | PBE-GGA | relaxed
# Electronic total energy = -7.46 eV/atom
# ΔE_f = -1503 kJ/mol of formula units
# V = 21.35 Å³/atom
# Total magnetization = 4.8 μB per formula unit
# N(E_F) = 13.62 states/eV per cell
data_PuSc5As6
_space_group_name_H-M_alt 'P 1'
_space_group_IT_number 1
_cell_length_a 6.794
_cell_length_b 6.794
_cell_length_c 6.798
_cell_angle_alpha 99.62
_cell_angle_beta 99.62
_cell_angle_gamma 119.99
loop_
_space_group_symop_operation_xyz
'x,y,z'
loop_
_atom_site_label
_atom_site_fract_x
_atom_site_fract_y
_atom_site_fract_z
As1 0.256 0.256 0.747
As2 0.425 0.085 0.256
Sc1 0.500 0.500 0.500
As3 0.575 0.915 0.744
As4 0.915 0.575 0.744
Sc2 0.333 0.667 0.000
As5 0.085 0.425 0.256
Pu1 0.000 0.000 0.000
Sc3 0.667 0.333 0.000
As6 0.744 0.744 0.253
Sc4 0.165 0.835 0.500
Sc5 0.835 0.165 0.500


# 6
# Pu5ScAs6 | the Alexandria database | PBE-GGA | relaxed
# Electronic total energy = -9.86 eV/atom
# ΔE_f = -1205 kJ/mol of formula units
# V = 24.28 Å³/atom
# Total magnetization = 15.0 μB per formula unit
# N(E_F) = 51.91 states/eV per cell
data_Pu5ScAs6
_space_group_name_H-M_alt 'P 1'
_space_group_IT_number 1
_cell_length_a 7.096
_cell_length_b 7.092
_cell_length_c 7.093
_cell_angle_alpha 60.00
_cell_angle_beta 80.37
_cell_angle_gamma 70.44
loop_
_space_group_symop_operation_xyz
'x,y,z'
loop_
_atom_site_label
_atom_site_fract_x
_atom_site_fract_y
_atom_site_fract_z
Pu1 0.000 0.335 0.330
As1 0.757 0.079 0.328
As2 0.243 0.921 0.672
Sc1 0.000 0.000 0.000
Pu2 0.500 0.832 0.337
As3 0.757 0.408 0.672
As4 0.247 0.243 0.000
As5 0.753 0.757 0.000
Pu3 0.500 0.500 0.000
Pu4 0.500 0.168 0.663
Pu5 0.000 0.665 0.670
As6 0.243 0.592 0.328


# 7
# Sm2PuScAs4 | the Alexandria database | PBE-GGA | relaxed
# Electronic total energy = -7.42 eV/atom
# ΔE_f = -1029 kJ/mol of formula units
# V = 24.60 Å³/atom
# Total magnetization = 4.9 μB per formula unit
# N(E_F) = 12.77 states/eV per cell
data_Sm2PuScAs4
_space_group_name_H-M_alt 'P 1'
_space_group_IT_number 1
_cell_length_a 4.127
_cell_length_b 7.104
_cell_length_c 7.119
_cell_angle_alpha 109.46
_cell_angle_beta 90.00
_cell_angle_gamma 90.00
loop_
_space_group_symop_operation_xyz
'x,y,z'
loop_
_atom_site_label
_atom_site_fract_x
_atom_site_fract_y
_atom_site_fract_z
As1 0.000 0.261 0.767
As2 0.500 0.749 0.763
Sm1 0.000 0.500 0.500
As3 0.000 0.739 0.233
Pu1 0.000 0.000 0.000
Sc1 0.500 0.500 0.000
Sm2 0.500 0.000 0.500
As4 0.500 0.251 0.237


# 8
# SmPuSc2As4 | the Alexandria database | PBE-GGA | relaxed
# Electronic total energy = -7.59 eV/atom
# ΔE_f = -1004 kJ/mol of formula units
# V = 23.11 Å³/atom
# Total magnetization = 4.9 μB per formula unit
# N(E_F) = 12.54 states/eV per cell
data_SmPuSc2As4
_space_group_name_H-M_alt 'P 1'
_space_group_IT_number 1
_cell_length_a 4.042
_cell_length_b 6.944
_cell_length_c 6.989
_cell_angle_alpha 70.44
_cell_angle_beta 90.00
_cell_angle_gamma 90.00
loop_
_space_group_symop_operation_xyz
'x,y,z'
loop_
_atom_site_label
_atom_site_fract_x
_atom_site_fract_y
_atom_site_fract_z
As1 0.000 0.769 0.740
Sc1 0.500 0.000 0.500
Sm1 0.500 0.500 0.000
Pu1 0.000 0.500 0.500
Sc2 0.000 0.000 0.000
As2 0.000 0.231 0.260
As3 0.500 0.766 0.248
As4 0.500 0.234 0.752


# 9
# TbPu2ScAs4 | the Alexandria database | PBE-GGA | relaxed
# Electronic total energy = -8.50 eV/atom
# ΔE_f = -945 kJ/mol of formula units
# V = 23.89 Å³/atom
# Total magnetization = 9.9 μB per formula unit
# N(E_F) = 20.56 states/eV per cell
data_TbPu2ScAs4
_space_group_name_H-M_alt 'P 1'
_space_group_IT_number 1
_cell_length_a 4.088
_cell_length_b 7.073
_cell_length_c 7.019
_cell_angle_alpha 109.63
_cell_angle_beta 90.00
_cell_angle_gamma 90.00
loop_
_space_group_symop_operation_xyz
'x,y,z'
loop_
_atom_site_label
_atom_site_fract_x
_atom_site_fract_y
_atom_site_fract_z
As1 0.500 0.743 0.752
Tb1 0.000 0.000 0.000
Sc1 0.500 0.500 0.000
Pu1 0.000 0.500 0.500
Pu2 0.500 0.000 0.500
As2 0.000 0.740 0.243
As3 0.000 0.260 0.757
As4 0.500 0.257 0.248


# 10
# Tb2PuScAs4 | the Alexandria database | PBE-GGA | relaxed
# Electronic total energy = -7.41 eV/atom
# ΔE_f = -1037 kJ/mol of formula units
# V = 23.91 Å³/atom
# Total magnetization = 4.9 μB per formula unit
# N(E_F) = 12.41 states/eV per cell
data_Tb2PuScAs4
_space_group_name_H-M_alt 'P 1'
_space_group_IT_number 1
_cell_length_a 4.087
_cell_length_b 7.037
_cell_length_c 7.052
_cell_angle_alpha 109.44
_cell_angle_beta 90.00
_cell_angle_gamma 90.00
loop_
_space_group_symop_operation_xyz
'x,y,z'
loop_
_atom_site_label
_atom_site_fract_x
_atom_site_fract_y
_atom_site_fract_z
Tb1 0.000 0.500 0.500
Tb2 0.500 0.000 0.500
As1 0.500 0.253 0.242
As2 0.000 0.259 0.762
Pu1 0.000 0.000 0.000
As3 0.500 0.747 0.758
As4 0.000 0.741 0.238
Sc1 0.500 0.500 0.000


# 11
# TbPuSc2As4 | the Alexandria database | PBE-GGA | relaxed
# Electronic total energy = -7.59 eV/atom
# ΔE_f = -1011 kJ/mol of formula units
# V = 22.77 Å³/atom
# Total magnetization = 4.9 μB per formula unit
# N(E_F) = 12.34 states/eV per cell
data_TbPuSc2As4
_space_group_name_H-M_alt 'P 1'
_space_group_IT_number 1
_cell_length_a 4.021
_cell_length_b 6.915
_cell_length_c 6.950
_cell_angle_alpha 70.46
_cell_angle_beta 90.00
_cell_angle_gamma 90.00
loop_
_space_group_symop_operation_xyz
'x,y,z'
loop_
_atom_site_label
_atom_site_fract_x
_atom_site_fract_y
_atom_site_fract_z
Pu1 0.500 0.500 0.000
Sc1 0.000 0.000 0.000
As1 0.500 0.235 0.757
As2 0.000 0.765 0.746
As3 0.500 0.765 0.243
Tb1 0.000 0.500 0.500
As4 0.000 0.235 0.254
Sc2 0.500 0.000 0.500


# 12
# PuScTeAs | the Alexandria database | PBE-GGA | relaxed
# Electronic total energy = -8.31 eV/atom
# V = 25.45 Å³/atom
# Total magnetization = 5.6 μB per formula unit
# N(E_F) = 11.25 states/eV per cell
# E_form (uncorrected) = -4.77 eV/f.u.
data_PuScTeAs
_space_group_name_H-M_alt 'P 1'
_space_group_IT_number 1
_cell_length_a 4.129
_cell_length_b 4.129
_cell_length_c 7.295
_cell_angle_alpha 73.56
_cell_angle_beta 73.56
_cell_angle_gamma 60.00
loop_
_space_group_symop_operation_xyz
'x,y,z'
loop_
_atom_site_label
_atom_site_fract_x
_atom_site_fract_y
_atom_site_fract_z
Pu1 0.991 0.991 0.027
As1 0.244 0.244 0.268
Sc1 0.509 0.509 0.472
Te1 0.756 0.756 0.732